Ac3Ir2, relaxed, DFT PBE; energy of formation from the pure elements = -0.60 eV/atom; ρ = 10.503 g/cm³; SG = R-3c, No. 167
1.0
-5.078 2.653 4.854
-7.325 -1.031 -1.292
-3.912 -5.409 4.672
Ir Ac
4 6
Cartesian
-8.049 -4.791 5.815
-8.266 1.005 2.420
-12.295 -1.276 5.260
-4.020 -2.510 2.975
-9.866 -2.506 6.594
-10.677 -0.785 2.756
-5.639 -3.001 5.479
-7.514 0.848 5.342
-8.802 -4.634 2.893
-6.450 -1.280 1.641